First-principles (GGA+U) data for PbWF2 after structural relaxation, as listed in Alexandria via LeMat-Bulk.

Energy = -35.306 eV/cell
Space-group type = I-42d (122)
Spin magnetization = 2.34 μB/f.u.

a = 4.5916 Å, b = 4.5916 Å, c = 8.1260 Å
α = 73.59°, β = 73.59°, γ = 90.00°
With the nearest neighbours (Å) after each atom.
Fractional coordinates of all 8 atoms:
1 Pb 0.0000 0.0000 0.0000  4 F 2.89
2 Pb 0.7500 0.2500 0.5000  4 F 2.89
3 W 0.5000 0.5000 0.0000  4 F 2.22
4 W 0.2500 0.7500 0.5000  4 F 2.22
5 F 0.4628 0.1250 0.2500  2 W 2.22, 2 F 2.43
6 F 0.2872 0.6250 0.2500  2 W 2.22, 2 F 2.43
7 F 0.3750 0.5372 0.7500  2 W 2.22, 2 F 2.43
8 F 0.8750 0.7128 0.7500  2 W 2.22, 2 F 2.43